(1)
! Pr2CdIn2Rh5 PBE-GGA optimized geometry; values from VASP
! * formation enthalpy at 0 K: -3.5 eV per formula unit
! * space group: No. 127
! * total magnetic moment: 0.0 μB/cell
&SYSTEM
  ibrav = 0, nat = 20, ntyp = 4
/
ATOMIC_SPECIES
Pr 140.91 Pr.upf
Cd 112.41 Cd.upf
In 114.82 In.upf
Rh 102.91 Rh.upf
CELL_PARAMETERS angstrom
10.3283 0.0000 0.0000
0.0000 10.3283 0.0000
0.0000 0.0000 3.7519
ATOMIC_POSITIONS crystal
Pr 0.1718 0.3282 0.0000
Pr 0.3282 0.8282 0.0000
Pr 0.6718 0.1718 0.0000
Pr 0.8282 0.6718 0.0000
Cd 0.0000 0.0000 0.0000
Cd 0.5000 0.5000 0.0000
In 0.1274 0.6274 0.0000
In 0.3726 0.1274 0.0000
In 0.6274 0.8726 0.0000
In 0.8726 0.3726 0.0000
Rh 0.0000 0.5000 0.5000
Rh 0.0545 0.7988 0.5000
Rh 0.2012 0.0545 0.5000
Rh 0.2988 0.5545 0.5000
Rh 0.4455 0.2988 0.5000
Rh 0.5000 0.0000 0.5000
Rh 0.5545 0.7012 0.5000
Rh 0.7012 0.4455 0.5000
Rh 0.7988 0.9455 0.5000
Rh 0.9455 0.2012 0.5000



(2)
! KLa2Au PBE-GGA optimized geometry; values from VASP
! * formation enthalpy at 0 K: -0.8 eV per formula unit
! * energy above the most stable polymorph in this dataset: 20 meV/atom
! * space group: No. 6
! * total magnetic moment: 0.0 μB/cell
&SYSTEM
  ibrav = 0, nat = 4, ntyp = 3
/
ATOMIC_SPECIES
K 39.10 K.upf
La 138.91 La.upf
Au 196.97 Au.upf
CELL_PARAMETERS angstrom
3.9128 0.0000 0.0000
0.0000 3.9243 0.0000
-0.0084 0.0000 9.7693
ATOMIC_POSITIONS crystal
K 0.0000 0.0000 0.0000
La 0.0010 0.0000 0.6093
La 0.4998 0.5000 0.3606
Au 0.5009 0.5000 0.7500